VASP calculation (PBE-GGA) on Na2AuBr after structural relaxation.

extended XYZ file:
```
12
Lattice="4.132 0.000 0.000 -2.066 3.578 0.000 0.000 0.000 22.413" Properties=species:S:1:pos:R:3 pbc="T T T"
Na 0.000 0.000 0.000
Na 0.000 0.000 3.667
Na 0.000 2.386 14.942
Na 0.000 2.386 18.609
Na 2.066 1.193 7.471
Na 2.066 1.193 11.138
Au 0.000 0.000 13.056
Au 0.000 2.386 5.585
Au 2.066 1.193 20.527
Br 0.000 0.000 9.288
Br 0.000 2.386 1.817
Br 2.066 1.193 16.759
```

Polymorph energy (0 for the lowest one) = 22 meV per atom
Formation energy (no corrections) = -0.815 eV/atom
Density = 4854 kg/m3
SG = R3m, No. 160


VASP calculation (PBE-GGA) on BaMnAlS4 after structural relaxation.

extended XYZ file:
```
14
Lattice="5.939 0.000 0.000 0.000 6.646 0.000 -2.308 0.000 8.296" Properties=species:S:1:pos:R:3 pbc="T T T"
Ba 1.217 1.661 0.740
Ba 2.413 4.984 7.556
Mn -0.531 4.984 4.185
Mn 4.162 1.661 4.111
Al 0.739 1.661 5.712
Al 2.892 4.984 2.584
S -1.006 0.094 5.747
S -1.006 3.229 5.747
S 1.804 4.984 0.657
S 1.839 1.661 3.794
S 1.792 4.984 4.502
S 1.826 1.661 7.639
S 4.636 3.416 2.549
S 4.636 6.552 2.549
```

Formation energy (no corrections) = -1.143 eV/atom
Density = 3525 kg/m3
SG = P2_1/m, No. 11


VASP calculation (PBE-GGA) on Zr2TlFeP after structural relaxation.

extended XYZ file:
```
5
Lattice="4.758 0.000 0.000 0.000 4.758 0.000 0.000 0.000 4.848" Properties=species:S:1:pos:R:3 pbc="T T T"
Zr 0.000 2.379 0.000
Zr 2.379 0.000 0.000
Tl 0.000 0.000 2.424
Fe 0.000 0.000 0.000
P 2.379 2.379 2.424
```

Formation energy from the elements = 0.29 eV per atom
Density = 7166 kg/m3
SG = P4/mmm, No. 123


VASP calculation (PBE-GGA) on MgScPd after structural relaxation.

extended XYZ file:
```
12
Lattice="3.984 0.000 0.000 0.000 3.984 0.000 0.000 0.000 14.805" Properties=species:S:1:pos:R:3 pbc="T T T"
Mg 0.000 1.992 0.000
Mg 0.000 1.992 7.402
Mg 1.992 0.000 0.000
Mg 1.992 0.000 7.402
Sc 0.000 0.000 2.663
Sc 0.000 0.000 12.141
Sc 1.992 1.992 4.739
Sc 1.992 1.992 10.066
Pd 0.000 0.000 5.405
Pd 0.000 0.000 9.400
Pd 1.992 1.992 1.997
Pd 1.992 1.992 12.807
```

Formation energy from the elements = -0.57 eV per atom
Density = 4966 kg/m3
SG = I4/mmm, No. 139


VASP calculation (PBE-GGA) on Pr4Tl3Ir after structural relaxation.

extended XYZ file:
```
8
Lattice="3.679 0.000 0.000 0.000 3.679 0.000 0.000 0.000 16.877" Properties=species:S:1:pos:R:3 pbc="T T T"
Pr 0.000 0.000 1.688
Pr 0.000 0.000 6.209
Pr 0.000 0.000 10.668
Pr 0.000 0.000 15.189
Tl 1.839 1.839 4.046
Tl 1.839 1.839 8.438
Tl 1.839 1.839 12.831
Ir 1.839 1.839 0.000
```

Formation energy from the elements = -0.43 eV per atom
Density = 9954 kg/m3
SG = P4/mmm, No. 123


VASP calculation (PBE-GGA) on Dy2HoHf after structural relaxation.

extended XYZ file:
```
4
Lattice="3.981 0.000 0.000 0.000 3.981 0.000 0.000 0.000 7.225" Properties=species:S:1:pos:R:3 pbc="T T T"
Dy 0.000 0.000 1.617
Dy 0.000 0.000 5.609
Ho 1.990 1.990 3.613
Hf 1.990 1.990 0.000
```

Polymorph energy (0 for the lowest one) = 109 meV per atom
Formation energy from the elements = 0.22 eV per atom
Density = 9695 kg/m3
SG = P4/mmm, No. 123


VASP calculation (PBE-GGA) on Pu6InBi2 after structural relaxation.

extended XYZ file:
```
9
Lattice="9.014 0.000 0.000 -4.507 7.806 0.000 0.000 0.000 3.456" Properties=species:S:1:pos:R:3 pbc="T T T"
Pu -1.497 2.593 0.000
Pu -3.010 5.214 0.000
Pu 2.994 0.000 0.000
Pu 1.497 2.593 0.000
Pu 6.020 0.000 0.000
Pu 3.010 5.214 0.000
In 0.000 0.000 1.728
Bi 0.000 5.204 1.728
Bi 4.507 2.602 1.728
```

Formation energy from the elements = -0.05 eV per atom
Density = 13633 kg/m3
SG = P6/mmm, No. 191


VASP calculation (PBE-GGA) on PmHg4 after structural relaxation.

extended XYZ file:
```
5
Lattice="6.141 0.000 0.000 0.000 6.141 0.000 0.000 0.000 6.141" Properties=species:S:1:pos:R:3 pbc="T T T"
Pm 0.000 0.000 0.000
Hg 0.000 0.000 3.071
Hg 0.000 3.071 0.000
Hg 3.071 0.000 0.000
Hg 3.071 3.071 3.071
```

Polymorph energy (0 for the lowest one) = 578 meV per atom
Formation energy from the elements = 0.29 eV per atom
Density = 6792 kg/m3
SG = Pm-3m, No. 221


VASP calculation (PBE-GGA) on Li5Sn4Hg after structural relaxation.

extended XYZ file:
```
10
Lattice="3.322 0.000 0.000 0.000 3.322 0.000 0.000 0.000 18.142" Properties=species:S:1:pos:R:3 pbc="T T T"
Li 0.000 0.000 0.000
Li 0.000 0.000 3.697
Li 0.000 0.000 7.385
Li 0.000 0.000 10.756
Li 0.000 0.000 14.445
Sn 1.661 1.661 1.816
Sn 1.661 1.661 5.546
Sn 1.661 1.661 12.595
Sn 1.661 1.661 16.325
Hg 1.661 1.661 9.071
```

Formation energy from the elements = -0.32 eV per atom
Density = 5892 kg/m3
SG = P4/mmm, No. 123


VASP calculation (PBE-GGA) on NaTl16Cd12 after structural relaxation.

extended XYZ file:
```
29
Lattice="5.883 -8.276 0.000 5.883 8.276 0.000 -5.830 0.000 8.259" Properties=species:S:1:pos:R:3 pbc="T T T"
Na 0.000 0.000 0.000
Tl 1.259 5.014 3.308
Tl 3.736 5.717 0.948
Tl 3.242 0.000 0.652
Tl 3.775 2.676 2.645
Tl 7.054 4.991 0.329
Tl -0.428 0.000 5.940
Tl 1.660 2.945 5.941
Tl 1.259 -5.014 3.308
Tl 3.775 -2.676 2.645
Tl 4.991 2.293 5.942
Tl 1.660 -2.945 5.941
Tl 5.883 0.000 3.538
Tl 3.736 -5.717 0.948
Tl 4.991 -2.293 5.942
Tl 7.054 -4.991 0.329
Tl 9.214 0.000 3.063
Cd -1.527 3.075 7.484
Cd 2.207 6.794 5.979
Cd 0.622 1.536 2.944
Cd 0.622 -1.536 2.944
Cd 4.399 5.259 4.445
Cd 6.416 1.546 0.660
Cd -1.527 -3.075 7.484
Cd 2.830 0.000 4.417
Cd 6.416 -1.546 0.660
Cd 2.763 0.000 7.406
Cd 2.207 -6.794 5.979
Cd 4.399 -5.259 4.445
```

Formation energy from the elements = 0.01 eV per atom
Density = 9585 kg/m3
SG = Cm, No. 8


VASP calculation (PBE-GGA) on Zr4GaSn after structural relaxation.

extended XYZ file:
```
12
Lattice="6.830 0.000 0.000 0.000 6.830 0.000 0.000 0.000 5.615" Properties=species:S:1:pos:R:3 pbc="T T T"
Zr 0.977 2.318 0.000
Zr 0.977 4.513 2.807
Zr 2.318 0.977 2.807
Zr 2.318 5.853 0.000
Zr 4.513 0.977 0.000
Zr 4.513 5.853 2.807
Zr 5.853 2.318 2.807
Zr 5.853 4.513 0.000
Ga 0.000 0.000 1.404
Ga 0.000 0.000 4.211
Sn 3.415 3.415 1.404
Sn 3.415 3.415 4.211
```

Formation energy from the elements = -0.45 eV per atom
Density = 7015 kg/m3
SG = P4/mcc, No. 124


VASP calculation (PBE-GGA) on TbSiO3 after structural relaxation.

extended XYZ file:
```
5
Lattice="3.728 0.000 0.000 0.000 3.728 0.000 0.000 0.000 3.728" Properties=species:S:1:pos:R:3 pbc="T T T"
Tb 0.000 0.000 0.000
Si 1.864 1.864 1.864
O 0.000 1.864 1.864
O 1.864 0.000 1.864
O 1.864 1.864 0.000
```

Formation energy (no corrections) = -2.398 eV/atom
Density = 7530 kg/m3
SG = Pm-3m, No. 221


VASP calculation (PBE-GGA) on VZn2Ag after structural relaxation.

extended XYZ file:
```
16
Lattice="7.106 0.000 0.000 0.000 7.106 0.000 0.000 0.000 5.512" Properties=species:S:1:pos:R:3 pbc="T T T"
V 0.000 0.000 0.000
V 0.000 3.553 1.378
V 3.553 0.000 4.134
V 3.553 3.553 2.756
Zn 1.753 1.776 3.445
Zn 1.776 5.306 4.823
Zn 1.776 5.353 2.067
Zn 1.800 1.776 0.689
Zn 5.306 5.329 0.689
Zn 5.329 1.753 2.067
Zn 5.329 1.800 4.823
Zn 5.353 5.329 3.445
Ag 0.000 0.000 2.756
Ag 0.000 3.553 4.134
Ag 3.553 0.000 1.378
Ag 3.553 3.553 0.000
```

Formation energy from the elements = 0.47 eV per atom
Density = 6913 kg/m3
SG = I-42d, No. 122